A plane-wave DFT calculation with GGA-PBE was carried out for an optimized crystal structure of Ba2InHg6Pd.

The total moment comes out at 0.00 μB per atom. For the energy, the calculation gives -1.67 eV/atom. For the energy of formation from the pure elements, the calculation gives -0.31 eV per atom.

Cell: 8.5665 6.9958 8.5523 Å, 51.47 60.80 90.30°
Fractional positions:
Ba1 0.7288 0.1952 0.5458
Ba2 0.2712 0.8048 0.4542
In1 0.0000 0.0000 0.0000
Hg1 0.3609 0.2925 0.4720
Hg2 0.8383 0.6930 0.9362
Hg3 0.2297 0.6970 0.1268
Hg4 0.7703 0.3030 0.8732
Hg5 0.1617 0.3070 0.0638
Hg6 0.6391 0.7075 0.5280
Pd1 0.5000 0.5000 0.0000